A relaxed structure of InTe2O5F, computed with PBE.

Unit cell a=6.7709 b=6.7709 c=13.4530 alpha=90.00 beta=90.00 gamma=115.73
With the nearest neighbours (Å) after each atom.
Element x y z (fractional)
In (0.0492, 0.2452, 0.3737)  4 O 2.14-2.18, 2 F 2.17-2.20
In (0.2452, 0.0492, 0.6263)  4 O 2.14-2.18, 2 F 2.17-2.20
In (0.7548, 0.9508, 0.1263)  4 O 2.14-2.18, 2 F 2.17-2.20
In (0.9508, 0.7548, 0.8737)  4 O 2.14-2.18, 2 F 2.17-2.20
Te (0.1480, 0.6885, 0.1082)  3 O 1.89-2.03
Te (0.2698, 0.3739, 0.8525)  3 O 1.90-1.94
Te (0.3115, 0.8520, 0.3918)  3 O 1.89-2.03
Te (0.3739, 0.2698, 0.1475)  3 O 1.90-1.94
Te (0.6261, 0.7302, 0.6475)  3 O 1.90-1.94
Te (0.6885, 0.1480, 0.8918)  3 O 1.89-2.03
Te (0.7302, 0.6261, 0.3525)  3 O 1.90-1.94
Te (0.8520, 0.3115, 0.6082)  3 O 1.89-2.03
O (0.0129, 0.0988, 0.8738)  1 Te 1.94
O (0.0988, 0.0129, 0.1262)  1 Te 1.94
O (0.1084, 0.5791, 0.3379)  1 Te 1.90
O (0.2024, 0.7647, 0.9727)  1 Te 1.89
O (0.2353, 0.7976, 0.5273)  1 Te 1.89
O (0.2625, 0.4607, 0.0866)  2 Te 1.94-2.03
O (0.2967, 0.3346, 0.7144)  1 Te 1.90
O (0.3346, 0.2967, 0.2856)  1 Te 1.90
O (0.4209, 0.8916, 0.1621)  1 Te 1.90
O (0.4607, 0.2625, 0.9134)  2 Te 1.94-2.03
O (0.5393, 0.7375, 0.4134)  2 Te 1.94-2.03
O (0.5791, 0.1084, 0.6621)  1 Te 1.90
O (0.6654, 0.7033, 0.7856)  1 Te 1.90
O (0.7033, 0.6654, 0.2144)  1 Te 1.90
O (0.7375, 0.5393, 0.5866)  2 Te 1.94-2.03
O (0.7647, 0.2024, 0.0273)  1 Te 1.89
O (0.7976, 0.2353, 0.4727)  1 Te 1.89
O (0.8916, 0.4209, 0.8379)  1 Te 1.90
O (0.9012, 0.9871, 0.6262)  1 Te 1.94
O (0.9871, 0.9012, 0.3738)  1 Te 1.94
F (0.1760, 0.8240, 0.7500)  2 In 2.17
F (0.2623, 0.2623, 0.5000)  2 In 2.20
F (0.7377, 0.7377, 0.0000)  2 In 2.20
F (0.8240, 0.1760, 0.2500)  2 In 2.17

Summary:
Formation energy from raw total energies: -1.364 eV/atom
Volume: 138.9 Å³/f.u.
Fermi-level density of states: 0.000 states/eV per atom

***

A relaxed structure of NdSmSn, computed with PBE.

Unit cell a=5.2028 b=5.2028 c=3.9518 alpha=90.00 beta=90.00 gamma=120.00
With the nearest neighbours (Å) after each atom.
Element x y z (fractional)
Nd (0.0000, 0.0000, 0.0000)  3 Sn 3.24, 3 Sm 3.46
Sm (0.3333, 0.6667, 0.5644)  3 Sn 3.17, 3 Nd 3.46
Sn (0.6667, 0.3333, 0.3051)  3 Sm 3.17, 3 Nd 3.24

Summary:
Volume: 92.6 Å³/f.u.
Formation energy: -0.37 eV/atom
Energy above the most stable polymorph in this dataset: 0.229 eV per atom
Fermi-level density of states: 0.890 states/eV per atom

***

A relaxed structure of AsOs2N, computed with PBE.

Unit cell a=4.1462 b=4.1462 c=4.1462 alpha=60.00 beta=60.00 gamma=60.00
With the nearest neighbours (Å) after each atom.
Element x y z (fractional)
As (0.0000, 0.0000, 0.0000)  8 Os 2.54
Os (0.2500, 0.2500, 0.2500)  4 As 2.54, 4 N 2.54
Os (0.7500, 0.7500, 0.7500)  4 As 2.54, 4 N 2.54
N (0.5000, 0.5000, 0.5000)  8 Os 2.54

Summary:
Formation energy from raw total energies: 1.130 eV/atom
Volume: 50.4 Å³/f.u.
Energy above the most stable polymorph in this dataset: 0.619 eV per atom
Fermi-level density of states: 0.712 states/eV per atom

***

A relaxed structure of LaSc2Ni9, computed with PBE.

Unit cell a=4.9299 b=4.9299 c=15.9338 alpha=90.00 beta=90.00 gamma=120.00
With the nearest neighbours (Å) after each atom.
Element x y z (fractional)
La (0.3333, 0.6667, 0.2500)  6 Ni 2.85
La (0.6667, 0.3333, 0.7500)  6 Ni 2.85
Sc (0.3333, 0.6667, 0.0366)  12 Ni 2.81-2.91, 3 Sc 3.08
Sc (0.3333, 0.6667, 0.4634)  12 Ni 2.81-2.91, 3 Sc 3.08
Sc (0.6667, 0.3333, 0.5366)  12 Ni 2.81-2.91, 3 Sc 3.08
Sc (0.6667, 0.3333, 0.9634)  12 Ni 2.81-2.91, 3 Sc 3.08
Ni (0.0000, 0.0000, 0.0000)  6 Ni 2.40
Ni (0.0000, 0.0000, 0.2500)  6 Ni 2.51
Ni (0.0000, 0.0000, 0.5000)  6 Ni 2.40
Ni (0.0000, 0.0000, 0.7500)  6 Ni 2.51
Ni (0.1683, 0.3365, 0.6208)  7 Ni 2.40-2.51
Ni (0.1683, 0.3365, 0.8792)  7 Ni 2.40-2.51
Ni (0.1683, 0.8317, 0.6208)  7 Ni 2.40-2.51
Ni (0.1683, 0.8317, 0.8792)  7 Ni 2.40-2.51
Ni (0.3333, 0.6667, 0.7500)  6 Ni 2.50
Ni (0.3365, 0.1683, 0.1208)  7 Ni 2.40-2.51
Ni (0.3365, 0.1683, 0.3792)  7 Ni 2.40-2.51
Ni (0.6635, 0.8317, 0.6208)  7 Ni 2.40-2.51
Ni (0.6635, 0.8317, 0.8792)  7 Ni 2.40-2.51
Ni (0.6667, 0.3333, 0.2500)  6 Ni 2.50
Ni (0.8317, 0.1683, 0.1208)  7 Ni 2.40-2.51
Ni (0.8317, 0.1683, 0.3792)  7 Ni 2.40-2.51
Ni (0.8317, 0.6635, 0.1208)  7 Ni 2.40-2.51
Ni (0.8317, 0.6635, 0.3792)  7 Ni 2.40-2.51

Summary:
Volume: 167.7 Å³/f.u.
Formation energy: -0.42 eV/atom
Fermi-level density of states: 1.120 states/eV per atom